DFT (GGA-PBE) results for a relaxed Ni2OsPd crystal.

Cell lengths 4.170, 4.170, 4.170 Å; angles 60.00, 60.00, 60.00 degrees
Fractional coordinates of all 4 atoms:
Ni: 0.250 0.250 0.250
Ni: 0.750 0.750 0.750
Os: 0.000 0.000 0.000
Pd: 0.500 0.500 0.500

Results
The relative energy among the computed polymorphs is 0.77 eV per formula unit. The calculation puts the magnetization at 0.00 μB/cell. Its formation energy is 1.1 eV per formula unit.